(1)
This record from Alexandria via LeMat-Bulk describes a relaxed LiPm2HPd6 crystal. The functional is PBE.

a = 8.7327 Å, b = 8.5697 Å, c = 5.9625 Å
α = 90.00°, β = 132.88°, γ = 90.00°
Last column: nearest neighbours and their distance in Å.
Space group C2/m (No. 12)
Asymmetric unit:
Li 0.0000 0.0000 0.0000 (multiplicity 2)  6 Pd 2.29-2.33
Pm 0.0000 0.2401 0.5000 (multiplicity 4)  12 Pd 2.99-3.20
H 0.0000 0.5000 0.0000 (multiplicity 2)  6 Pd 2.00-2.05
Pd 0.0000 0.2670 0.0000 (multiplicity 4)  1 H 2.00
Pd 0.2243 0.5000 0.9800 (multiplicity 4)  1 H 2.04
Pd 0.2248 0.5000 0.4689 (multiplicity 4)  1 H 2.05

(2)
This record from Alexandria via LeMat-Bulk describes a relaxed LiPmH8Pd4 crystal. The functional is PBE.

a = 5.6778 Å, b = 5.6778 Å, c = 15.9602 Å
α = 90.00°, β = 90.00°, γ = 120.00°
Last column: nearest neighbours and their distance in Å.
Space group R3m (No. 160, hexagonal axes)
Asymmetric unit:
Li 0.0000 0.0000 0.0000 (multiplicity 3)  3 H 1.84
Pm 0.0000 0.0000 0.5205 (multiplicity 3)  6 H 2.31-2.37
H 0.0000 0.0000 0.2817 (multiplicity 3)  4 Pd 1.86-1.97
H 0.0000 0.0000 0.7397 (multiplicity 3)  3 Pd 1.87
H 0.0202 0.5101 0.2948 (multiplicity 9)  2 Pd 1.84, 1 Li 1.84
H 0.0202 0.5101 0.7533 (multiplicity 9)  3 Pd 1.98-2.00, 1 Li 2.07
Pd 0.0000 0.0000 0.1649 (multiplicity 3)  4 H 1.86-1.98
Pd 0.0033 0.5016 0.0186 (multiplicity 9)  6 H 1.84-2.00

(3)
This record from Alexandria via LeMat-Bulk describes a relaxed LiPrH6Pd2 crystal. The functional is PBE.

a = 4.5794 Å, b = 4.5794 Å, c = 15.7455 Å
α = 90.00°, β = 90.00°, γ = 120.00°
Last column: nearest neighbours and their distance in Å.
Space group R-3m (No. 166, hexagonal axes)
Asymmetric unit:
Li 0.0000 0.0000 0.0000 (multiplicity 3)  6 H 1.96
Pr 0.0000 0.0000 0.5000 (multiplicity 3)  12 H 2.54
H 0.0238 0.5119 0.5698 (multiplicity 18)  1 Pd 1.67
Pd 0.0000 0.0000 0.2928 (multiplicity 6)  3 H 1.67

| no. | energy (eV per atom) |
| --- | --- |
| 1 | -5.1990 |
| 2 | -4.0532 |
| 3 | -4.0266 |